(1)
DFT (PBE) results for a geometry-optimized HfSbIO2 structure.

Summary:
The total magnetic moment is 0.9 Bohr magnetons per cell. As for the energy: -0.4622 Ry per atom. Its energy above the most stable polymorph in this dataset is 0 meV per atom. The value obtained for the raw formation energy is -1.1797 eV/atom. The value obtained for the calculated volume is 107.6 Å³/f.u. Its space group is P4/mmm, No. 123.

abc: 4.186 4.186 6.141
angles: 90.00 90.00 90.00
Element x y z (fractional)
Hf 0.000 0.000 0.000
Sb 0.500 0.500 0.500
I 0.000 0.000 0.500
O 0.000 0.500 0.000
O 0.500 0.000 0.000

***

(2)
DFT (PBE) results for a geometry-optimized HfSb2IO structure.

Summary:
The total magnetic moment is 0.0 Bohr magnetons per cell. As for the energy: -0.3583 Ry per atom. Its energy above the most stable polymorph in this dataset is 0 meV per atom. The value obtained for the raw formation energy is 0.0664 eV/atom. The value obtained for the calculated volume is 115.0 Å³/f.u. Its space group is P4/mmm, No. 123.

abc: 4.467 4.467 5.762
angles: 90.00 90.00 90.00
Element x y z (fractional)
Hf 0.000 0.000 0.000
Sb 0.000 0.500 0.500
Sb 0.500 0.000 0.500
I 0.500 0.500 0.000
O 0.500 0.500 0.500

***

(3)
DFT (PBE) results for a geometry-optimized HfSbIO2 structure.

Summary:
The total magnetic moment is 1.9 Bohr magnetons per cell. As for the energy: -0.3692 Ry per atom. Its energy above the most stable polymorph in this dataset is 1265 meV per atom. The value obtained for the raw formation energy is 0.0851 eV/atom. The value obtained for the calculated volume is 118.7 Å³/f.u. Its space group is P4/mmm, No. 123.

abc: 4.090 4.090 7.094
angles: 90.00 90.00 90.00
Element x y z (fractional)
Hf 0.000 0.000 0.000
Sb 0.500 0.500 0.500
I 0.500 0.500 0.000
O 0.000 0.500 0.500
O 0.500 0.000 0.500